[1]
Entry from Alexandria: a relaxed structure of HfInNF2 (PBE).

E above lowest polymorph = 0.000 eV per atom
Energy relative to the elements, uncorrected = -1.844 eV per atom

```
data_HfInNF2
_space_group_name_H-M_alt 'P 4/m m m'
_space_group_IT_number 123
_space_group_name_Hall '-P 4 2'
_cell_length_a 4.312
_cell_length_b 4.312
_cell_length_c 4.188
_cell_angle_alpha 90.00
_cell_angle_beta 90.00
_cell_angle_gamma 90.00
loop_
_atom_site_label
_atom_site_fract_x
_atom_site_fract_y
_atom_site_fract_z
Hf1 0.000 0.000 0.000
In1 0.500 0.500 0.500
N1 0.000 0.000 0.500
F1 0.000 0.500 0.000
```



[2]
Entry from Alexandria: a relaxed structure of Hf2InN (PBE).

Energy relative to the elements, uncorrected = -0.805 eV per atom

```
data_Hf2InN
_space_group_name_H-M_alt 'P n m a'
_space_group_IT_number 62
_cell_length_a 6.232
_cell_length_b 4.299
_cell_length_c 10.598
_cell_angle_alpha 90.00
_cell_angle_beta 90.00
_cell_angle_gamma 90.00
loop_
_space_group_symop_operation_xyz
'x,y,z'
'-x,-y,-z'
'-x+1/2,-y,z+1/2'
'x+1/2,y,-z+1/2'
'x+1/2,-y+1/2,-z+1/2'
'-x+1/2,y+1/2,z+1/2'
'-x,y+1/2,-z'
'x,-y+1/2,z'
loop_
_atom_site_label
_atom_site_fract_x
_atom_site_fract_y
_atom_site_fract_z
Hf1 0.132 0.250 0.239
Hf2 0.133 0.250 0.557
In1 0.123 0.250 0.879
N1 0.096 0.750 0.599
```



[3]
Entry from Alexandria: a relaxed structure of AgAsSe2Cl (PBE).

E above lowest polymorph = 0.202 eV per atom
Energy relative to the elements, uncorrected = 0.987 eV per atom

```
data_AgAsSe2Cl
_space_group_name_H-M_alt 'P 4/m m m'
_space_group_IT_number 123
_space_group_name_Hall '-P 4 2'
_cell_length_a 5.140
_cell_length_b 5.140
_cell_length_c 4.870
_cell_angle_alpha 90.00
_cell_angle_beta 90.00
_cell_angle_gamma 90.00
loop_
_atom_site_label
_atom_site_fract_x
_atom_site_fract_y
_atom_site_fract_z
Ag1 0.000 0.000 0.000
As1 0.500 0.500 0.000
Se1 0.000 0.500 0.500
Cl1 0.500 0.500 0.500
```



[4]
Entry from Alexandria: a relaxed structure of CrFeOs4 (PBE).

E_form = 0.683 eV per atom

```
data_CrFeOs4
_space_group_name_H-M_alt 'F -4 3 m'
_space_group_IT_number 216
_space_group_name_Hall 'F -4 2 3'
_cell_length_a 7.214
_cell_length_b 7.214
_cell_length_c 7.214
_cell_angle_alpha 90.00
_cell_angle_beta 90.00
_cell_angle_gamma 90.00
loop_
_atom_site_label
_atom_site_fract_x
_atom_site_fract_y
_atom_site_fract_z
Cr1 0.000 0.000 0.000
Fe1 0.250 0.250 0.250
Os1 0.125 0.125 0.625
```



[5]
Entry from Alexandria: a relaxed structure of Hf2GeMo (PBE).

E_form = -0.364 eV per atom

```
data_Hf2GeMo
_space_group_name_H-M_alt 'P 4/m m m'
_space_group_IT_number 123
_space_group_name_Hall '-P 4 2'
_cell_length_a 4.538
_cell_length_b 4.538
_cell_length_c 3.534
_cell_angle_alpha 90.00
_cell_angle_beta 90.00
_cell_angle_gamma 90.00
loop_
_atom_site_label
_atom_site_fract_x
_atom_site_fract_y
_atom_site_fract_z
Hf1 0.000 0.500 0.000
Ge1 0.000 0.000 0.500
Mo1 0.500 0.500 0.500
```



[6]
Entry from Alexandria: a relaxed structure of PmH12Pt4 (PBE).

Energy = -4.297 eV/atom

```
data_PmH12Pt4
_space_group_name_H-M_alt 'I m -3'
_space_group_IT_number 204
_space_group_name_Hall '-I 2 2 3'
_cell_length_a 7.074
_cell_length_b 7.074
_cell_length_c 7.074
_cell_angle_alpha 90.00
_cell_angle_beta 90.00
_cell_angle_gamma 90.00
loop_
_atom_site_label
_atom_site_fract_x
_atom_site_fract_y
_atom_site_fract_z
Pm1 0.000 0.000 0.000
H1 0.000 0.254 0.259
Pt1 0.250 0.250 0.250
```



[7]
Entry from Alexandria: a relaxed structure of ScPt2Br (PBE).

E above lowest polymorph = 0.448 eV per atom
Energy relative to the elements, uncorrected = -0.343 eV per atom

```
data_ScPt2Br
_space_group_name_H-M_alt 'I -4 m 2'
_space_group_IT_number 119
_space_group_name_Hall 'I -4 -2'
_cell_length_a 4.701
_cell_length_b 4.701
_cell_length_c 6.631
_cell_angle_alpha 90.00
_cell_angle_beta 90.00
_cell_angle_gamma 90.00
loop_
_atom_site_label
_atom_site_fract_x
_atom_site_fract_y
_atom_site_fract_z
Sc1 0.000 0.000 0.000
Pt1 0.000 0.000 0.500
Pt2 0.000 0.500 0.250
Br1 0.000 0.500 0.750
```



[8]
Entry from Alexandria: a relaxed structure of Cs (PBE).

E above lowest polymorph = 0.055 eV per atom
E_form = 0.055 eV per atom

```
data_Cs
_space_group_name_H-M_alt 'F d d d'
_space_group_IT_number 70
_cell_length_a 5.260
_cell_length_b 19.104
_cell_length_c 19.179
_cell_angle_alpha 90.00
_cell_angle_beta 90.00
_cell_angle_gamma 90.00
loop_
_space_group_symop_operation_xyz
'x,y,z'
'-x,-y,-z'
'-x+1/4,-y+1/4,z'
'x+1/4,y+1/4,-z'
'x,-y+1/4,-z+1/4'
'-x,y+1/4,z+1/4'
'-x+1/4,y,-z+1/4'
'x+1/4,-y,z+1/4'
'x,y+1/2,z+1/2'
'-x,-y+1/2,-z+1/2'
'-x+1/4,-y+3/4,z+1/2'
'x+1/4,y+3/4,-z+1/2'
'x,-y+3/4,-z+3/4'
'-x,y+3/4,z+3/4'
'-x+1/4,y+1/2,-z+3/4'
'x+1/4,-y+1/2,z+3/4'
'x+1/2,y,z+1/2'
'-x+1/2,-y,-z+1/2'
'-x+3/4,-y+1/4,z+1/2'
'x+3/4,y+1/4,-z+1/2'
'x+1/2,-y+1/4,-z+3/4'
'-x+1/2,y+1/4,z+3/4'
'-x+3/4,y,-z+3/4'
'x+3/4,-y,z+3/4'
'x+1/2,y+1/2,z'
'-x+1/2,-y+1/2,-z'
'-x+3/4,-y+3/4,z'
'x+3/4,y+3/4,-z'
'x+1/2,-y+3/4,-z+1/4'
'-x+1/2,y+3/4,z+1/4'
'-x+3/4,y+1/2,-z+1/4'
'x+3/4,-y+1/2,z+1/4'
loop_
_atom_site_label
_atom_site_fract_x
_atom_site_fract_y
_atom_site_fract_z
Cs1 0.125 0.256 0.125
```